A relaxed structure of Ca2NdReO8, computed with GGA-PBE.

POSCAR file:
```
Ca2NdReO8
1.0
-3.561 -2.848 -2.698
2.658 -3.413 0.047
-1.197 -3.684 5.463
Ca Nd Re O
2 1 1 8
direct
0.504 0.380 0.795 Ca
0.496 0.620 0.205 Ca
0.000 0.000 0.500 Nd
0.000 0.000 0.000 Re
0.006 0.636 0.271 O
0.741 0.820 0.883 O
0.760 0.192 0.127 O
0.994 0.364 0.729 O
0.259 0.180 0.117 O
0.240 0.808 0.873 O
0.513 0.833 0.495 O
0.487 0.167 0.505 O
```

Properties
The calculation puts the volume at 145 Å³ per cell. The formation energy from raw total energies comes out at -2.257 eV per atom. As for the space group: P-1, No. 2. The calculation puts the electronic total energy at -7.331 eV/atom.